1.
NbFeSCl2: optimized geometry, PBE.

Cell and atoms, written as POSCAR:
```
NbFeSCl2
1.0
4.3828 0.0000 0.0000
0.0000 4.3828 0.0000
0.0000 0.0000 4.5184
Nb Fe S Cl
1 1 1 2
Direct
0.0000 0.0000 0.0000 Nb
0.5000 0.5000 0.5000 Fe
0.5000 0.5000 0.0000 S
0.0000 0.5000 0.5000 Cl
0.5000 0.0000 0.5000 Cl
```

Values from the calculation:
Relative energy among the computed polymorphs = 0.4041 eV/atom
M_tot = 0.00 μB/cell
Volume = 86.8 Å³/cell
Density of states at the Fermi level = 1.7578 states/eV/atom
Energy relative to the elements, uncorrected = 0.50 eV per atom
Space-group type = P4/mmm (123)


2.
Mg4Tl5Cd2: optimized geometry, PBE.

Cell and atoms, written as POSCAR:
```
Mg4Tl5Cd2
1.0
11.0986 -1.7250 0.0000
11.0986 1.7250 0.0000
-0.8401 0.0000 7.4914
Mg Tl Cd
4 5 2
Direct
0.0410 0.0410 0.3366 Mg
0.2773 0.2773 0.1770 Mg
0.7227 0.7227 0.8230 Mg
0.9590 0.9590 0.6634 Mg
0.1368 0.1368 0.0401 Tl
0.1802 0.1802 0.4763 Tl
0.5000 0.5000 0.0000 Tl
0.8198 0.8198 0.5237 Tl
0.8632 0.8632 0.9599 Tl
0.4210 0.4210 0.3292 Cd
0.5790 0.5790 0.6708 Cd
```

Values from the calculation:
Relative energy among the computed polymorphs = 0.0000 eV/atom
M_tot = 0.00 μB/cell
Volume = 286.8 Å³/cell
Density of states at the Fermi level = 0.4044 states/eV/atom
E_form = 0.007 eV/atom
Space-group type = C2/m (12)


3.
CsYTiSe4: optimized geometry, PBE.

Cell and atoms, written as POSCAR:
```
CsYTiSe4
1.0
6.8450 0.0000 0.0000
0.0000 7.1558 0.0000
-3.2174 0.0000 9.3957
Cs Y Ti Se
2 2 2 8
Direct
0.2412 0.2500 0.4422 Cs
0.7588 0.7500 0.5578 Cs
0.2881 0.2500 0.9569 Y
0.7119 0.7500 0.0431 Y
0.2675 0.7500 0.1589 Ti
0.7325 0.2500 0.8411 Ti
0.0476 0.7500 0.9229 Se
0.0613 0.7500 0.3106 Se
0.4880 0.5052 0.8059 Se
0.4880 0.9948 0.8059 Se
0.5120 0.0052 0.1941 Se
0.5120 0.4948 0.1941 Se
0.9387 0.2500 0.6894 Se
0.9524 0.2500 0.0771 Se
```

Values from the calculation:
M_tot = 0.00 μB/cell
Volume = 460.2 Å³/cell
Density of states at the Fermi level = 0.0000 states/eV/atom
Energy relative to the elements, uncorrected = -1.46 eV per atom
Space-group type = P2_1/m (11)


4.
Ce2ZnSi3Pt4: optimized geometry, PBE.

Cell and atoms, written as POSCAR:
```
Ce2ZnSi3Pt4
1.0
4.2524 0.0000 0.0000
0.0000 4.2524 0.0000
0.0000 0.0000 10.0201
Ce Zn Si Pt
2 1 3 4
Direct
0.0000 0.5000 0.2468 Ce
0.5000 0.0000 0.7532 Ce
0.5000 0.5000 0.0000 Zn
0.0000 0.0000 0.0000 Si
0.0000 0.5000 0.6281 Si
0.5000 0.0000 0.3719 Si
0.0000 0.0000 0.5000 Pt
0.0000 0.5000 0.8657 Pt
0.5000 0.0000 0.1343 Pt
0.5000 0.5000 0.5000 Pt
```

Values from the calculation:
M_tot = 1.09 μB/cell
Volume = 181.2 Å³/cell
Density of states at the Fermi level = 1.1669 states/eV/atom
Energy relative to the elements, uncorrected = -1.02 eV per atom
Space-group type = P-4m2 (115)


5.
Th2ScAl: optimized geometry, PBE.

Cell and atoms, written as POSCAR:
```
Th2ScAl
1.0
0.0000 3.7798 3.7798
3.7798 0.0000 3.7798
3.7798 3.7798 0.0000
Th Sc Al
2 1 1
Direct
0.2500 0.2500 0.2500 Th
0.7500 0.7500 0.7500 Th
0.0000 0.0000 0.0000 Sc
0.5000 0.5000 0.5000 Al
```

Values from the calculation:
Relative energy among the computed polymorphs = 0.1619 eV/atom
M_tot = 0.00 μB/cell
Volume = 108.0 Å³/cell
Density of states at the Fermi level = 1.4915 states/eV/atom
E_form = 0.013 eV/atom
Space-group type = Fm-3m (225)


6.
Ta2CoRh: optimized geometry, PBE.

Cell and atoms, written as POSCAR:
```
Ta2CoRh
1.0
3.2014 0.0000 0.0000
0.0000 3.2014 0.0000
0.0000 0.0000 6.0074
Ta Co Rh
2 1 1
Direct
0.0000 0.0000 0.0000 Ta
0.5000 0.5000 0.3071 Ta
0.0000 0.0000 0.4986 Co
0.5000 0.5000 0.7696 Rh
```

Values from the calculation:
M_tot = 0.42 μB/cell
Volume = 61.6 Å³/cell
Density of states at the Fermi level = 1.1475 states/eV/atom
E_form = -0.265 eV/atom
Space-group type = P4mm (99)


7.
Li2PrGa4Pd: optimized geometry, PBE.

Cell and atoms, written as POSCAR:
```
Li2PrGa4Pd
1.0
2.1644 1.2496 8.9539
-2.1644 1.2496 8.9539
0.0000 -2.4992 8.9539
Li Pr Ga Pd
2 1 4 1
Direct
0.2298 0.2298 0.2298 Li
0.7702 0.7702 0.7702 Li
0.0000 0.0000 0.0000 Pr
0.1257 0.1257 0.1257 Ga
0.4030 0.4030 0.4030 Ga
0.5970 0.5970 0.5970 Ga
0.8743 0.8743 0.8743 Ga
0.5000 0.5000 0.5000 Pd
```

Values from the calculation:
M_tot = 0.00 μB/cell
Volume = 145.3 Å³/cell
Density of states at the Fermi level = 0.4913 states/eV/atom
E_form = -0.495 eV/atom
Space-group type = R-3m (166)


8.
ZrTl2Ir: optimized geometry, PBE.

Cell and atoms, written as POSCAR:
```
ZrTl2Ir
1.0
4.0765 0.0000 0.0000
0.0000 4.4435 0.0000
0.0000 0.0000 4.6344
Zr Tl Ir
1 2 1
Direct
0.0000 0.0000 0.0000 Zr
0.0000 0.5000 0.5000 Tl
0.5000 0.0000 0.5000 Tl
0.5000 0.5000 0.0000 Ir
```

Values from the calculation:
Relative energy among the computed polymorphs = 0.2570 eV/atom
M_tot = 0.00 μB/cell
Volume = 83.9 Å³/cell
Density of states at the Fermi level = 0.6251 states/eV/atom
E_form = 0.138 eV/atom
Space-group type = Pmmm (47)


9.
Hg2Ge2Ir: optimized geometry, PBE.

Cell and atoms, written as POSCAR:
```
Hg2Ge2Ir
1.0
6.4227 0.0000 0.0000
0.0000 6.4227 0.0000
0.0000 0.0000 5.0110
Hg Ge Ir
4 4 2
Direct
0.1794 0.3206 0.0000 Hg
0.3206 0.8206 0.0000 Hg
0.6794 0.1794 0.0000 Hg
0.8206 0.6794 0.0000 Hg
0.1444 0.6444 0.5000 Ge
0.3556 0.1444 0.5000 Ge
0.6444 0.8556 0.5000 Ge
0.8556 0.3556 0.5000 Ge
0.0000 0.0000 0.5000 Ir
0.5000 0.5000 0.5000 Ir
```

Values from the calculation:
M_tot = 0.00 μB/cell
Volume = 206.7 Å³/cell
Density of states at the Fermi level = 0.9072 states/eV/atom
E_form = 0.227 eV/atom
Space-group type = P4/mbm (127)


10.
CaTiH: optimized geometry, PBE.

Cell and atoms, written as POSCAR:
```
CaTiH
1.0
3.1997 0.0000 0.0000
-1.5999 2.7711 0.0000
0.0000 0.0000 11.1150
Ca Ti H
2 2 2
Direct
0.0000 0.0000 0.1493 Ca
0.0000 0.0000 0.8507 Ca
0.3333 0.6667 0.3834 Ti
0.3333 0.6667 0.6166 Ti
0.0000 0.0000 0.5000 H
0.3333 0.6667 0.0000 H
```

Values from the calculation:
M_tot = 0.00 μB/cell
Volume = 98.5 Å³/cell
Density of states at the Fermi level = 1.0112 states/eV/atom
Uncorrected energy = -25.4 eV per cell
Space-group type = P-6m2 (187)


11.
BaRu2Pt: optimized geometry, PBE.

Cell and atoms, written as POSCAR:
```
BaRu2Pt
1.0
3.9159 -2.2149 0.0000
3.9159 2.2149 0.0000
-2.4979 0.0000 5.6774
Ba Ru Pt
1 2 1
Direct
0.0000 0.0000 0.0000 Ba
0.1880 0.1880 0.5528 Ru
0.8120 0.8120 0.4472 Ru
0.5000 0.5000 0.5000 Pt
```

Values from the calculation:
Relative energy among the computed polymorphs = 0.0422 eV/atom
M_tot = 0.00 μB/cell
Volume = 98.5 Å³/cell
Density of states at the Fermi level = 1.4803 states/eV/atom
E_form = 0.150 eV/atom
Space-group type = C2/m (12)


12.
CsRbSe2N: optimized geometry, PBE.

Cell and atoms, written as POSCAR:
```
CsRbSe2N
1.0
5.8364 0.0000 0.0000
0.0000 5.8364 0.0000
0.0000 0.0000 7.9838
Cs Rb Se N
1 1 2 1
Direct
0.0000 0.0000 0.0000 Cs
0.0000 0.0000 0.5000 Rb
0.0000 0.5000 0.0000 Se
0.5000 0.0000 0.0000 Se
0.5000 0.5000 0.5000 N
```

Values from the calculation:
M_tot = 2.97 μB/cell
Volume = 272.0 Å³/cell
Density of states at the Fermi level = 1.3470 states/eV/atom
Energy relative to the elements, uncorrected = 1.17 eV per atom
Space-group type = P4/mmm (123)


13.
YGa3NiPd: optimized geometry, PBE.

Cell and atoms, written as POSCAR:
```
YGa3NiPd
1.0
3.0036 -6.1535 0.0000
3.0036 6.1535 0.0000
0.0000 0.0000 5.7474
Y Ga Ni Pd
2 6 2 2
Direct
0.2242 0.7758 0.7500 Y
0.7758 0.2242 0.2500 Y
0.2108 0.2108 0.0000 Ga
0.2108 0.2108 0.5000 Ga
0.3578 0.6422 0.2500 Ga
0.6422 0.3578 0.7500 Ga
0.7892 0.7892 0.0000 Ga
0.7892 0.7892 0.5000 Ga
0.4366 0.5634 0.7500 Ni
0.5634 0.4366 0.2500 Ni
0.1523 0.8477 0.2500 Pd
0.8477 0.1523 0.7500 Pd
```

Values from the calculation:
M_tot = 0.00 μB/cell
Volume = 212.5 Å³/cell
Density of states at the Fermi level = 0.5082 states/eV/atom
E_form = -0.487 eV/atom
Space-group type = Cmcm (63)


14.
Sm3Ho2Tm3: optimized geometry, PBE.

Cell and atoms, written as POSCAR:
```
Sm3Ho2Tm3
1.0
8.0525 -2.8360 0.0000
8.0525 2.8360 0.0000
-2.1011 0.0000 5.6099
Sm Ho Tm
3 2 3
Direct
0.0000 0.0000 0.0000 Sm
0.1340 0.1340 0.6980 Sm
0.8660 0.8660 0.3020 Sm
0.2497 0.2497 0.3183 Ho
0.7503 0.7503 0.6817 Ho
0.3678 0.3678 0.9207 Tm
0.5000 0.5000 0.5000 Tm
0.6322 0.6322 0.0793 Tm
```

Values from the calculation:
Relative energy among the computed polymorphs = 0.0000 eV/atom
M_tot = 0.00 μB/cell
Volume = 256.2 Å³/cell
Density of states at the Fermi level = 1.7607 states/eV/atom
E_form = 0.094 eV/atom
Space-group type = C2/m (12)


15.
CoSbC3: optimized geometry, PBE.

Cell and atoms, written as POSCAR:
```
CoSbC3
1.0
3.8628 0.0000 0.0000
0.0000 3.8628 0.0000
0.0000 0.0000 3.8628
Co Sb C
1 1 3
Direct
0.0000 0.0000 0.0000 Co
0.5000 0.5000 0.5000 Sb
0.0000 0.0000 0.5000 C
0.0000 0.5000 0.0000 C
0.5000 0.0000 0.0000 C
```

Values from the calculation:
M_tot = 0.00 μB/cell
Volume = 57.6 Å³/cell
Density of states at the Fermi level = 0.7592 states/eV/atom
Energy relative to the elements, uncorrected = 2.08 eV per atom
Space-group type = Pm-3m (221)


16.
YRuSN2: optimized geometry, PBE.

Cell and atoms, written as POSCAR:
```
YRuSN2
1.0
4.3358 0.0000 0.0000
0.0000 4.3358 0.0000
0.0000 0.0000 5.4321
Y Ru S N
1 1 1 2
Direct
0.0000 0.0000 0.0000 Y
0.5000 0.5000 0.5000 Ru
0.0000 0.0000 0.5000 S
0.0000 0.5000 0.0000 N
0.5000 0.0000 0.0000 N
```

Values from the calculation:
Relative energy among the computed polymorphs = 1.5482 eV/atom
M_tot = 6.82 μB/cell
Volume = 102.1 Å³/cell
Density of states at the Fermi level = 1.0117 states/eV/atom
Energy relative to the elements, uncorrected = 1.36 eV per atom
Space-group type = P4/mmm (123)


17.
Dy3Cd2Os: optimized geometry, PBE.

Cell and atoms, written as POSCAR:
```
Dy3Cd2Os
1.0
2.5101 -7.4820 0.0000
2.5101 7.4820 0.0000
0.0000 0.0000 7.6425
Dy Cd Os
6 4 2
Direct
0.0000 0.0000 0.2282 Dy
0.0000 0.0000 0.7718 Dy
0.3255 0.6745 0.2182 Dy
0.3255 0.6745 0.7818 Dy
0.6745 0.3255 0.2182 Dy
0.6745 0.3255 0.7818 Dy
0.1660 0.8340 0.5000 Cd
0.5000 0.5000 0.0000 Cd
0.5000 0.5000 0.5000 Cd
0.8340 0.1660 0.5000 Cd
0.1619 0.8381 0.0000 Os
0.8381 0.1619 0.0000 Os
```

Values from the calculation:
M_tot = 0.00 μB/cell
Volume = 287.1 Å³/cell
Density of states at the Fermi level = 0.6532 states/eV/atom
E_form = -0.312 eV/atom
Space-group type = Cmmm (65)


18.
CoPd5Au: optimized geometry, PBE.

Cell and atoms, written as POSCAR:
```
CoPd5Au
1.0
3.9621 0.0000 0.0000
0.0000 3.9621 0.0000
0.0000 0.0000 7.1839
Co Pd Au
1 5 1
Direct
0.0000 0.0000 0.0000 Co
0.0000 0.5000 0.2116 Pd
0.0000 0.5000 0.7884 Pd
0.5000 0.0000 0.2116 Pd
0.5000 0.0000 0.7884 Pd
0.5000 0.5000 0.5000 Pd
0.0000 0.0000 0.5000 Au
```

Values from the calculation:
Relative energy among the computed polymorphs = 0.0000 eV/atom
M_tot = 3.49 μB/cell
Volume = 112.8 Å³/cell
Density of states at the Fermi level = 1.2022 states/eV/atom
E_form = 0.125 eV/atom
Space-group type = P4/mmm (123)


19.
KGaCuHg2: optimized geometry, PBE.

Cell and atoms, written as POSCAR:
```
KGaCuHg2
1.0
5.2660 0.0000 0.0000
0.0000 5.2660 0.0000
0.0000 0.0000 4.8044
K Ga Cu Hg
1 1 1 2
Direct
0.0000 0.0000 0.0000 K
0.5000 0.5000 0.0000 Ga
0.5000 0.5000 0.5000 Cu
0.0000 0.5000 0.5000 Hg
0.5000 0.0000 0.5000 Hg
```

Values from the calculation:
M_tot = 0.00 μB/cell
Volume = 133.2 Å³/cell
Density of states at the Fermi level = 0.5069 states/eV/atom
E_form = -0.021 eV/atom
Space-group type = P4/mmm (123)


20.
TaTlSe4: optimized geometry, PBE.

Cell and atoms, written as POSCAR:
```
TaTlSe4
1.0
0.0000 4.0744 4.0744
4.0744 0.0000 4.0744
4.0744 4.0744 0.0000
Ta Tl Se
1 1 4
Direct
0.0000 0.0000 0.0000 Ta
0.7500 0.7500 0.7500 Tl
0.3734 0.3734 0.3734 Se
0.3734 0.3734 0.8799 Se
0.3734 0.8799 0.3734 Se
0.8799 0.3734 0.3734 Se
```

Values from the calculation:
Relative energy among the computed polymorphs = 1.3349 eV/atom
M_tot = 2.79 μB/cell
Volume = 135.3 Å³/cell
Density of states at the Fermi level = 0.9413 states/eV/atom
Energy relative to the elements, uncorrected = 0.87 eV per atom
Space-group type = F-43m (216)